# 1
Density functional theory data (PBE) for crystalline Eu2ZnRh at its relaxed geometry.

Summary:
**N(E_F)**: 3.69 states/eV/atom
**SG**: No. 123
**Calculated volume**: 23.90 Å³ per atom
**ΔH_f (0 K)**: -317 meV/atom
**Uncorrected energy**: -7.611 eV/atom

```
Eu2ZnRh
1.0
-2.470 -1.005 -2.432
2.184 -2.644 -1.125
-2.985 -4.557 4.914
Eu Rh Zn
2 1 1
Direct
0.000 0.000 0.770 Eu
0.000 0.000 0.230 Eu
0.500 0.500 0.000 Rh
0.500 0.500 0.500 Zn
```



# 2
Density functional theory data (PBE) for crystalline Eu2Zn4Rh at its relaxed geometry.

Summary:
**N(E_F)**: 2.84 states/eV/atom
**SG**: No. 139
**Calculated volume**: 25.48 Å³ per atom
**ΔH_f (0 K)**: -192 meV/atom
**Uncorrected energy**: -4.906 eV/atom

```
Eu2Zn4Rh
1.0
4.787 0.000 0.000
0.000 4.787 0.000
2.393 2.393 7.785
Zn Rh Eu
4 1 2
Direct
0.842 0.842 0.315 Zn
0.158 0.158 0.685 Zn
0.500 0.000 0.000 Zn
0.000 0.500 0.000 Zn
0.000 0.000 0.000 Rh
0.358 0.358 0.284 Eu
0.642 0.642 0.716 Eu
```



# 3
Density functional theory data (PBE) for crystalline Eu2ZnRh at its relaxed geometry.

Summary:
**N(E_F)**: 0.88 states/eV/atom
**SG**: No. 225
**Calculated volume**: 23.54 Å³ per atom
**ΔH_f (0 K)**: -320 meV/atom
**Uncorrected energy**: -7.613 eV/atom

```
Eu2ZnRh
1.0
-2.853 3.829 1.810
-4.015 -1.002 2.992
0.160 1.176 4.967
Eu Zn Rh
2 1 1
Direct
0.000 0.000 0.000 Eu
0.500 0.500 0.500 Eu
0.750 0.750 0.750 Zn
0.250 0.250 0.250 Rh
```



# 4
Density functional theory data (PBE) for crystalline EuZrZnRh at its relaxed geometry.

Summary:
**N(E_F)**: 1.23 states/eV/atom
**SG**: No. 216
**Calculated volume**: 20.58 Å³ per atom
**ΔH_f (0 K)**: -263 meV/atom
**Uncorrected energy**: -7.125 eV/atom

```
EuZrZnRh
1.0
-2.565 -3.101 -2.765
2.275 -2.768 -3.317
0.412 -4.814 0.706
Rh Zn Zr Eu
1 1 1 1
Direct
0.500 0.500 0.500 Rh
0.000 0.000 0.000 Zn
0.250 0.250 0.250 Zr
0.750 0.750 0.750 Eu
```



# 5
Density functional theory data (PBE) for crystalline EuRuS2 at its relaxed geometry.

Summary:
**N(E_F)**: 1.38 states/eV/atom
**SG**: No. 166
**Calculated volume**: 18.25 Å³ per atom
**Uncorrected energy**: -8.017 eV/atom

```
EuRuS2
1.0
-2.008 2.307 2.382
-3.876 -0.034 -0.080
-2.005 -3.290 4.651
S Ru Eu
2 1 1
Direct
0.271 0.271 0.188 S
0.729 0.729 0.812 S
0.000 0.000 0.000 Ru
0.500 0.500 0.500 Eu
```



# 6
Density functional theory data (PBE) for crystalline EuSb12Ru4 at its relaxed geometry.

Summary:
**N(E_F)**: 0.82 states/eV/atom
**SG**: No. 204
**Calculated volume**: 24.38 Å³ per atom
**Uncorrected energy**: -6.016 eV/atom

```
EuSb12Ru4
1.0
-2.854 6.798 3.439
-6.225 -4.524 -2.637
4.287 -4.217 5.479
Sb Ru Eu
12 4 1
Direct
0.159 0.500 0.341 Sb
0.659 0.841 0.500 Sb
0.817 0.659 0.159 Sb
0.841 0.183 0.341 Sb
0.341 0.159 0.500 Sb
0.341 0.841 0.183 Sb
0.841 0.500 0.659 Sb
0.500 0.659 0.841 Sb
0.183 0.341 0.841 Sb
0.500 0.341 0.159 Sb
0.159 0.817 0.659 Sb
0.659 0.159 0.817 Sb
0.000 0.500 0.000 Ru
0.000 0.000 0.500 Ru
0.500 0.000 0.000 Ru
0.500 0.500 0.500 Ru
0.000 0.000 0.000 Eu
```



# 7
Density functional theory data (PBE) for crystalline EuScRu at its relaxed geometry.

Summary:
**N(E_F)**: 2.01 states/eV/atom
**SG**: No. 107
**Calculated volume**: 23.27 Å³ per atom
**ΔH_f (0 K)**: -175 meV/atom
**Uncorrected energy**: -8.802 eV/atom

```
EuScRu
1.0
-1.652 -1.817 -2.296
-0.839 -2.233 2.370
-3.909 5.216 1.146
Ru Eu Sc
1 1 1
Direct
0.684 0.684 0.368 Ru
0.026 0.026 0.053 Eu
0.289 0.289 0.579 Sc
```



# 8
Density functional theory data (PBE) for crystalline EuScZnRu at its relaxed geometry.

Summary:
**N(E_F)**: 0.82 states/eV/atom
**SG**: No. 216
**Calculated volume**: 20.06 Å³ per atom
**ΔH_f (0 K)**: -143 meV/atom
**Uncorrected energy**: -6.932 eV/atom

```
EuScZnRu
1.0
-0.337 3.436 -3.394
-3.343 3.479 0.401
1.341 4.540 1.011
Eu Sc Zn Ru
1 1 1 1
Direct
0.750 0.750 0.750 Eu
0.250 0.250 0.250 Sc
0.000 0.000 0.000 Zn
0.500 0.500 0.500 Ru
```



# 9
Density functional theory data (PBE) for crystalline EuSi2Ru2 at its relaxed geometry.

Summary:
**N(E_F)**: 2.26 states/eV/atom
**SG**: No. 139
**Calculated volume**: 17.59 Å³ per atom
**Uncorrected energy**: -8.691 eV/atom

```
EuSi2Ru2
1.0
5.766 0.004 0.000
2.669 5.111 0.000
-4.218 -2.558 2.986
Ru Eu Si
2 1 2
Direct
0.250 0.750 0.500 Ru
0.750 0.250 0.500 Ru
0.000 0.000 0.000 Eu
0.362 0.362 0.000 Si
0.638 0.638 0.000 Si
```



# 10
Density functional theory data (PBE) for crystalline Sm3EuRu at its relaxed geometry.

Summary:
**N(E_F)**: 1.01 states/eV/atom
**SG**: No. 221
**Calculated volume**: 34.28 Å³ per atom
**ΔH_f (0 K)**: -85 meV/atom
**Uncorrected energy**: -6.826 eV/atom

```
Sm3EuRu
1.0
-3.888 1.349 3.731
-3.916 -2.142 -3.306
0.636 -4.944 2.451
Sm Eu Ru
3 1 1
Direct
0.000 0.000 0.500 Sm
0.500 0.000 0.000 Sm
0.000 0.500 0.000 Sm
0.500 0.500 0.500 Eu
0.000 0.000 0.000 Ru
```



# 11
Density functional theory data (PBE) for crystalline SmEuRu at its relaxed geometry.

Summary:
**N(E_F)**: 2.82 states/eV/atom
**SG**: No. 216
**Excess energy over the best structure of this formula in the dataset**: 0.0980 eV per atom
**Calculated volume**: 27.46 Å³ per atom
**ΔH_f (0 K)**: 23 meV/atom
**Uncorrected energy**: -8.067 eV/atom

```
SmEuRu
1.0
-2.771 2.438 3.198
-4.219 -1.921 1.538
-0.420 -1.609 4.592
Ru Sm Eu
1 1 1
Direct
0.250 0.250 0.250 Ru
0.500 0.500 0.500 Sm
0.000 0.000 0.000 Eu
```



# 12
Density functional theory data (PBE) for crystalline SmEuRu at its relaxed geometry.

Summary:
**N(E_F)**: 2.72 states/eV/atom
**SG**: No. 107
**Excess energy over the best structure of this formula in the dataset**: 0.0000 eV per atom
**Calculated volume**: 27.15 Å³ per atom
**ΔH_f (0 K)**: -75 meV/atom
**Uncorrected energy**: -8.164 eV/atom

```
SmEuRu
1.0
-2.305 1.278 2.316
0.272 -2.941 1.893
5.980 3.516 1.354
Ru Sm Eu
1 1 1
Direct
0.674 0.674 0.348 Ru
0.290 0.290 0.580 Sm
0.036 0.036 0.071 Eu
```



Question: Among the records above, which one has the highest N(E_F)?
Answer: number 1